Here is a geometry-optimized PrHo2SnC structure from the Alexandria database. Energies are from PBE.

ΔH_f (0 K)	-0.554	eV per atom
DOS(E_F)	0.4302	states/eV/atom

abc: 4.887 4.887 5.141
angles: 90.00 90.00 90.00
Space group P4/mmm (No. 123)
Asymmetric unit:
Pr (0.000, 0.000, 0.000) (multiplicity 1)
Ho (0.000, 0.500, 0.500) (multiplicity 2)
Sn (0.500, 0.500, 0.000) (multiplicity 1)
C (0.000, 0.000, 0.500) (multiplicity 1)